# PBE-GGA SmScInHg, optimized geometry
# Crystal system: cubic
data_SmScInHg
_cell_length_a 7.388
_cell_length_b 7.388
_cell_length_c 7.388
_cell_angle_alpha 90.00
_cell_angle_beta 90.00
_cell_angle_gamma 90.00
_space_group_name_H-M_alt 'F -4 3 m'
_space_group_IT_number 216
_space_group_name_Hall 'F -4 2 3'
loop_
_atom_site_label
_atom_site_type_symbol
_atom_site_fract_x
_atom_site_fract_y
_atom_site_fract_z
Sm1 Sm 0.000 0.000 0.000
Sc1 Sc 0.000 0.000 0.500
In1 In 0.250 0.250 0.750
Hg1 Hg 0.250 0.250 0.250



# PBE-GGA SmSc2InHg4, optimized geometry
# Crystal system: trigonal
data_SmSc2InHg4
_cell_length_a 4.9742
_cell_length_b 4.9742
_cell_length_c 26.8033
_cell_angle_alpha 90.00
_cell_angle_beta 90.00
_cell_angle_gamma 120.00
_space_group_name_H-M_alt 'R -3 m'
_space_group_IT_number 166
_space_group_name_Hall '-R 3 2"'
loop_
_atom_site_label
_atom_site_type_symbol
_atom_site_fract_x
_atom_site_fract_y
_atom_site_fract_z
Sm1 Sm 0.0000 0.0000 0.0000
Sc1 Sc 0.0000 0.0000 0.2390
In1 In 0.0000 0.0000 0.5000
Hg1 Hg 0.0000 0.0000 0.1209
Hg2 Hg 0.0000 0.0000 0.3808



# PBE-GGA TbSc2InHg4, optimized geometry
# Crystal system: trigonal
data_TbSc2InHg4
_cell_length_a 5.0299
_cell_length_b 5.0299
_cell_length_c 25.6328
_cell_angle_alpha 90.00
_cell_angle_beta 90.00
_cell_angle_gamma 120.00
_space_group_name_H-M_alt 'R -3 m'
_space_group_IT_number 166
_space_group_name_Hall '-R 3 2"'
loop_
_atom_site_label
_atom_site_type_symbol
_atom_site_fract_x
_atom_site_fract_y
_atom_site_fract_z
Tb1 Tb 0.0000 0.0000 0.0000
Sc1 Sc 0.0000 0.0000 0.2436
In1 In 0.0000 0.0000 0.5000
Hg1 Hg 0.0000 0.0000 0.1217
Hg2 Hg 0.0000 0.0000 0.3723



no.,magnetic moment (μB per cell),uncorrected energy (Ry/atom)
1,2.3,-0.2905
2,0.0,-0.2199
3,0.0,-0.2198